## CsPu4 (PBE-GGA)

Data for crystalline CsPu4 at its relaxed geometry.

The calculation puts the calculated formation energy at 155 kJ per mole of atoms.

Geometry as CIF:
```
data_CsPu4
_chemical_formula_sum 'Cs1 Pu4'
_space_group_name_H-M_alt 'P m -3 m'
_space_group_IT_number 221
_space_group_name_Hall '-P 4 2 3'
_cell_length_a 5.697
_cell_length_b 5.697
_cell_length_c 5.697
_cell_angle_alpha 90.00
_cell_angle_beta 90.00
_cell_angle_gamma 90.00
loop_
_atom_site_label
_atom_site_type_symbol
_atom_site_fract_x
_atom_site_fract_y
_atom_site_fract_z
_atom_site_occupancy
Cs1 Cs 0.000 0.000 0.000 1
Pu1 Pu 0.000 0.000 0.500 1
Pu2 Pu 0.500 0.500 0.500 1
```

## CsRb2Pu3S8 (PBE-GGA)

Data for crystalline CsRb2Pu3S8 at its relaxed geometry.

As for the formation energy without anion corrections: -1.313 eV/atom.

Geometry as CIF:
```
data_CsRb2Pu3S8
_chemical_formula_sum 'Cs3 Rb6 Pu9 S24'
_space_group_name_H-M_alt 'R 3 m'
_space_group_IT_number 160
_space_group_name_Hall 'R 3 -2"'
_cell_length_a 8.2195
_cell_length_b 8.2195
_cell_length_c 24.0482
_cell_angle_alpha 90.00
_cell_angle_beta 90.00
_cell_angle_gamma 120.00
loop_
_atom_site_label
_atom_site_type_symbol
_atom_site_fract_x
_atom_site_fract_y
_atom_site_fract_z
_atom_site_occupancy
Cs1 Cs 0.0000 0.0000 0.0000 1
Rb1 Rb 0.0000 0.0000 0.3635 1
Rb2 Rb 0.0000 0.0000 0.7307 1
Pu1 Pu 0.1670 0.3340 0.1967 1
S1 S 0.0000 0.0000 0.1399 1
S2 S 0.0000 0.0000 0.5891 1
S3 S 0.0375 0.5187 0.1392 1
S4 S 0.1869 0.3738 0.9203 1
```

## CsPuRhS3 (PBE-GGA)

Data for crystalline CsPuRhS3 at its relaxed geometry.

As for the formation energy without anion corrections: -1.174 eV/atom.

Geometry as CIF:
```
data_CsPuRhS3
_chemical_formula_sum 'Cs2 Pu2 Rh2 S6'
_space_group_name_H-M_alt 'P 1 21/m 1'
_space_group_IT_number 11
_cell_length_a 9.277
_cell_length_b 4.027
_cell_length_c 9.700
_cell_angle_alpha 90.00
_cell_angle_beta 111.17
_cell_angle_gamma 90.00
loop_
_space_group_symop_operation_xyz
'x,y,z'
'-x,-y,-z'
'-x,y+1/2,-z'
'x,-y+1/2,z'
loop_
_atom_site_label
_atom_site_type_symbol
_atom_site_fract_x
_atom_site_fract_y
_atom_site_fract_z
_atom_site_occupancy
Cs1 Cs 0.209 0.250 0.246 1
Pu1 Pu 0.325 0.750 0.850 1
Rh1 Rh 0.080 0.250 0.593 1
S1 S 0.137 0.250 0.857 1
S2 S 0.188 0.750 0.552 1
S3 S 0.472 0.750 0.149 1
```

## Cs2Pu2RhS6 (PBE-GGA)

Data for crystalline Cs2Pu2RhS6 at its relaxed geometry.

As for the formation energy without anion corrections: -1.211 eV/atom.

Geometry as CIF:
```
data_Cs2Pu2RhS6
_chemical_formula_sum 'Cs4 Pu4 Rh2 S12'
_space_group_name_H-M_alt 'C 1 2/m 1'
_space_group_IT_number 12
_cell_length_a 6.738
_cell_length_b 11.406
_cell_length_c 8.570
_cell_angle_alpha 90.00
_cell_angle_beta 105.58
_cell_angle_gamma 90.00
loop_
_space_group_symop_operation_xyz
'x,y,z'
'-x,-y,-z'
'-x,y,-z'
'x,-y,z'
'x+1/2,y+1/2,z'
'-x+1/2,-y+1/2,-z'
'-x+1/2,y+1/2,-z'
'x+1/2,-y+1/2,z'
loop_
_atom_site_label
_atom_site_type_symbol
_atom_site_fract_x
_atom_site_fract_y
_atom_site_fract_z
_atom_site_occupancy
Cs1 Cs 0.000 0.171 0.000 1
Pu1 Pu 0.000 0.332 0.500 1
Rh1 Rh 0.000 0.000 0.500 1
S1 S 0.216 0.153 0.673 1
S2 S 0.247 0.000 0.330 1
```

## Cs3Pu3RhS8 (PBE-GGA)

Data for crystalline Cs3Pu3RhS8 at its relaxed geometry.

As for the formation energy without anion corrections: -1.259 eV/atom.

Geometry as CIF:
```
data_Cs3Pu3RhS8
_chemical_formula_sum 'Cs6 Pu6 Rh2 S16'
_space_group_name_H-M_alt 'C 1 2/m 1'
_space_group_IT_number 12
_cell_length_a 13.817
_cell_length_b 7.945
_cell_length_c 9.387
_cell_angle_alpha 90.00
_cell_angle_beta 119.35
_cell_angle_gamma 90.00
loop_
_space_group_symop_operation_xyz
'x,y,z'
'-x,-y,-z'
'-x,y,-z'
'x,-y,z'
'x+1/2,y+1/2,z'
'-x+1/2,-y+1/2,-z'
'-x+1/2,y+1/2,-z'
'x+1/2,-y+1/2,z'
loop_
_atom_site_label
_atom_site_type_symbol
_atom_site_fract_x
_atom_site_fract_y
_atom_site_fract_z
_atom_site_occupancy
Cs1 Cs 0.000 0.000 0.000 1
Cs2 Cs 0.250 0.250 0.000 1
Pu1 Pu 0.000 0.500 0.500 1
Pu2 Pu 0.250 0.250 0.500 1
Rh1 Rh 0.000 0.000 0.500 1
S1 S 0.021 0.230 0.333 1
S2 S 0.208 0.000 0.665 1
S3 S 0.228 0.500 0.683 1
```

## Cs3Pu3RhSe8 (PBE-GGA)

Data for crystalline Cs3Pu3RhSe8 at its relaxed geometry.

As for the formation energy without anion corrections: -1.196 eV/atom.

Geometry as CIF:
```
data_Cs3Pu3RhSe8
_chemical_formula_sum 'Cs6 Pu6 Rh2 Se16'
_space_group_name_H-M_alt 'C 1 2/m 1'
_space_group_IT_number 12
_cell_length_a 14.350
_cell_length_b 8.285
_cell_length_c 9.782
_cell_angle_alpha 90.00
_cell_angle_beta 119.26
_cell_angle_gamma 90.00
loop_
_space_group_symop_operation_xyz
'x,y,z'
'-x,-y,-z'
'-x,y,-z'
'x,-y,z'
'x+1/2,y+1/2,z'
'-x+1/2,-y+1/2,-z'
'-x+1/2,y+1/2,-z'
'x+1/2,-y+1/2,z'
loop_
_atom_site_label
_atom_site_type_symbol
_atom_site_fract_x
_atom_site_fract_y
_atom_site_fract_z
_atom_site_occupancy
Cs1 Cs 0.000 0.000 0.000 1
Cs2 Cs 0.250 0.250 0.000 1
Pu1 Pu 0.000 0.500 0.500 1
Pu2 Pu 0.250 0.250 0.500 1
Rh1 Rh 0.000 0.000 0.500 1
Se1 Se 0.019 0.228 0.331 1
Se2 Se 0.210 0.000 0.670 1
Se3 Se 0.229 0.500 0.687 1
```

no.,raw total energy (eV per cell)
1,-50.1
2,-291.6
3,-83.9
4,-151.6
5,-209.6
6,-197.4